Entry 1:
K2CaOs: optimized geometry, PBE.

Cell: 7.116 7.116 3.104 Å, 101.48 101.48 126.90°
Positions (direct):
K 0.000 0.500 0.000
K 0.500 0.000 0.000
Ca 0.000 0.000 0.500
Os 0.500 0.500 0.500

As for the size of the total moment: 0.0 Bohr magnetons per cell. Its energy above the most stable polymorph in this dataset is 382 meV/atom. As for the total energy: -2.71 eV/atom.


Entry 2:
CaScZnSi: optimized geometry, PBE.

Cell: 4.873 4.873 4.873 Å, 60.00 60.00 60.00°
Positions (direct):
Ca 0.000 0.000 0.000
Sc 0.500 0.500 0.500
Zn 0.750 0.750 0.750
Si 0.250 0.250 0.250

As for the size of the total moment: 0.0 Bohr magnetons per cell. As for the energy relative to the elements, uncorrected: -1.30 eV per formula unit. As for the total energy: -4.08 eV/atom.


Entry 3:
Mg3BI: optimized geometry, PBE.

Cell: 5.643 5.643 5.643 Å, 90.00 90.00 90.00°
Positions (direct):
Mg 0.000 0.000 0.500
Mg 0.000 0.500 0.000
Mg 0.500 0.000 0.000
B 0.500 0.500 0.500
I 0.000 0.000 0.000

As for the size of the total moment: 0.0 Bohr magnetons per cell. Its energy above the most stable polymorph in this dataset is 1615 meV/atom. As for the energy relative to the elements, uncorrected: 7.73 eV per formula unit. As for the total energy: -1.06 eV/atom.


Look up the size of the total moment of the third one.
0.0 Bohr magnetons per cell


What is the formula in the second record?
CaScZnSi